# 1
PBE Ba4PI3, optimized geometry; uncorrected energy = -3.60 eV per atom; V = 42.4 A^3/atom
1.0
-0.2696 -4.6340 1.2782
6.1158 1.2814 5.9354
-7.6734 1.4517 3.6448
P Ba I
1 4 3
direct
0.5000 0.0000 0.0000 P
0.0000 0.7905 0.7905 Ba
0.5000 0.2261 0.7739 Ba
0.0000 0.2095 0.2095 Ba
0.5000 0.7739 0.2261 Ba
0.0000 0.5000 0.0000 I
0.5000 0.5000 0.5000 I
0.0000 0.0000 0.5000 I


# 2
PBE CsLaB2, optimized geometry; energy above the lowest structure with this stoichiometry = 0 meV/atom; uncorrected energy = -3.35 eV per atom; energy relative to the elements = 1.4337 eV per atom; V = 31.7 A^3/atom
1.0
-5.1281 0.4627 -1.6665
-0.6816 -5.3333 0.6165
-5.4458 -1.1660 7.6466
La B Cs
2 4 2
direct
0.7500 0.2500 0.5000 La
0.0000 0.0000 0.0000 La
0.8749 0.6250 0.2500 B
0.3750 0.1249 0.7500 B
0.8751 0.1250 0.2500 B
0.8750 0.1251 0.7500 B
0.2500 0.7500 0.5000 Cs
0.5000 0.5000 0.0000 Cs


Q: The lowest uncorrected energy belongs to which entry?
A: Ba4PI3